Record 1
Computed, not measured: crystalline Fe2AuSe at its relaxed geometry at the PBE level of DFT.

Unit cell a=5.634 b=5.634 c=11.580 alpha=90.00 beta=90.00 gamma=90.00
Space group I-42d (No. 122)
Inequivalent atoms, fractional coordinates:
1 Fe 0.235 0.250 0.125 x8
2 Au 0.000 0.000 0.500 x4
3 Se 0.000 0.000 0.000 x4

Formation energy (no corrections)   0.520 eV/atom

Record 2
Computed, not measured: crystalline Pu6GaRu5 at its relaxed geometry at the PBE level of DFT.

Unit cell a=11.307 b=4.941 c=8.266 alpha=90.00 beta=90.95 gamma=90.00
Space group C2/m (No. 12)
Inequivalent atoms, fractional coordinates:
1 Pu 0.001 0.000 0.286 x4
2 Pu 0.176 0.500 0.782 x4
3 Pu 0.181 0.500 0.220 x4
4 Ga 0.000 0.500 0.500 x2
5 Ru 0.000 0.500 0.000 x2
6 Ru 0.130 0.000 0.998 x4
7 Ru 0.178 0.000 0.501 x4

Electronic total energy   -11.358 eV per atom

Record 3
Computed, not measured: crystalline BaSb2PdI at its relaxed geometry at the PBE level of DFT.

Unit cell a=6.598 b=6.598 c=6.538 alpha=90.00 beta=90.00 gamma=90.00
Space group P4/mmm (No. 123)
Inequivalent atoms, fractional coordinates:
1 Ba 0.000 0.000 0.000 x1
2 Sb 0.000 0.500 0.000 x2
3 Pd 0.500 0.500 0.500 x1
4 I 0.000 0.000 0.500 x1

Offset from the most stable computed form   1.3135 eV per atom
Formation energy (no corrections)   0.880 eV/atom

Record 4
Computed, not measured: crystalline Y3PuRh8 at its relaxed geometry at the PBE level of DFT.

Unit cell a=5.3419 b=5.3419 c=26.2005 alpha=90.00 beta=90.00 gamma=120.00
Space group R3m (No. 160, hexagonal axes)
Inequivalent atoms, fractional coordinates:
1 Y 0.0000 0.0000 0.0000 x3
2 Y 0.0000 0.0000 0.1258 x3
3 Y 0.0000 0.0000 0.6245 x3
4 Pu 0.0000 0.0000 0.5002 x3
5 Rh 0.0000 0.0000 0.3126 x3
6 Rh 0.0000 0.0000 0.8126 x3
7 Rh 0.9995 0.4998 0.5624 x9
8 Rh 0.0008 0.5004 0.0627 x9

Electronic total energy   -8.373 eV per atom